# PmEr2Tm2Sc2

A relaxed PmEr2Tm2Sc2 crystal (PBE, Alexandria).

Geometry as extended XYZ:
```
14
Lattice="10.8523 0.0000 0.0000 0.0000 3.3227 0.0000 -2.8410 0.0000 11.7705" Properties=species:S:1:pos:R:3 pbc="T T T"
Pm 0.0000 0.0000 0.0000
Pm 5.4261 1.6614 0.0000
Er 0.0696 0.0000 10.0788
Er 2.5155 1.6614 1.6917
Er 5.4958 1.6614 10.0788
Er 7.9416 0.0000 1.6917
Tm 0.0798 0.0000 3.4550
Tm 2.5053 1.6614 8.3155
Tm 5.5060 1.6614 3.4550
Tm 7.9314 0.0000 8.3155
Sc 0.0956 0.0000 6.6905
Sc 2.4896 1.6614 5.0800
Sc 5.5217 1.6614 6.6905
Sc 7.9157 0.0000 5.0800
```

Summary:
DFT formation energy ... 243 meV/atom



# PmEr6Tm3Sc2

A relaxed PmEr6Tm3Sc2 crystal (PBE, Alexandria).

Geometry as extended XYZ:
```
12
Lattice="3.0077 -5.2032 0.0000 3.0077 5.2032 0.0000 -1.9958 0.0000 11.3500" Properties=species:S:1:pos:R:3 pbc="T T T"
Pm 0.0000 0.0000 0.0000
Er 1.0155 1.7463 2.8107
Er 0.0187 0.0000 8.5396
Er 1.0155 -1.7463 2.8107
Er 3.0042 1.7463 8.5393
Er 4.0010 0.0000 2.8105
Er 3.0042 -1.7463 8.5393
Tm 2.0099 3.4630 5.6750
Tm 2.0099 0.0000 5.6750
Tm 2.0099 -3.4630 5.6750
Sc 3.0077 1.7336 0.0000
Sc 3.0077 -1.7336 0.0000
```

Summary:
DFT formation energy ... 38 meV/atom



# PmEr2TmSc

A relaxed PmEr2TmSc crystal (PBE, Alexandria).

Geometry as extended XYZ:
```
10
Lattice="3.1437 -7.9554 0.0000 3.1437 7.9554 0.0000 0.0000 0.0000 6.2898" Properties=species:S:1:pos:R:3 pbc="T T T"
Pm 3.1437 5.3906 4.7174
Pm 3.1437 -5.3906 1.5725
Er 1.5817 0.0000 0.0000
Er 1.5817 0.0000 3.1449
Er 4.7058 0.0000 0.0000
Er 4.7058 0.0000 3.1449
Tm 3.1437 3.9880 1.5725
Tm 3.1437 -3.9880 4.7174
Sc 3.1437 2.4538 4.7174
Sc 3.1437 -2.4538 1.5725
```

Summary:
DFT formation energy ... 376 meV/atom



# PmErTm2Sc5

A relaxed PmErTm2Sc5 crystal (PBE, Alexandria).

Geometry as extended XYZ:
```
18
Lattice="2.6600 -9.3056 0.0000 2.6600 9.3056 0.0000 0.0000 0.0000 10.1594" Properties=species:S:1:pos:R:3 pbc="T T T"
Pm 2.6600 7.8041 5.0797
Pm 2.6600 -7.8041 0.0000
Er 2.6600 3.8322 0.5984
Er 2.6600 -3.8322 5.6781
Tm 2.6600 2.0884 3.7504
Tm 2.6600 2.0767 7.8537
Tm 2.6600 -2.0767 2.7739
Tm 2.6600 -2.0884 8.8301
Sc 2.6600 8.9041 7.9093
Sc 2.6600 7.3221 0.6830
Sc 2.6600 5.5662 7.7264
Sc 2.6600 5.2789 3.5991
Sc 2.6600 0.3707 0.7576
Sc 2.6600 -0.3707 5.8374
Sc 2.6600 -5.2789 8.6789
Sc 2.6600 -5.5662 2.6467
Sc 2.6600 -7.3221 5.7627
Sc 2.6600 -8.9041 2.8296
```

Summary:
DFT formation energy ... 176 meV/atom



# PmEr3TmSc

A relaxed PmEr3TmSc crystal (PBE, Alexandria).

Geometry as extended XYZ:
```
12
Lattice="2.4633 -7.3888 0.0000 2.4633 7.3888 0.0000 0.0000 0.0000 9.8905" Properties=species:S:1:pos:R:3 pbc="T T T"
Pm 2.4633 7.3519 7.4178
Pm 2.4633 -7.3519 2.4726
Er 2.4633 4.9105 9.8883
Er 2.4633 4.9105 4.9474
Er 2.4633 2.5030 7.4178
Er 2.4633 -2.5030 2.4726
Er 2.4633 -4.9105 0.0022
Er 2.4633 -4.9105 4.9431
Tm 2.4633 0.0000 0.0000
Tm 2.4633 0.0000 4.9452
Sc 2.4633 2.4866 2.4726
Sc 2.4633 -2.4866 7.4178
```

Summary:
DFT formation energy ... 39 meV/atom



# PmErTmSc

A relaxed PmErTmSc crystal (PBE, Alexandria).

Geometry as extended XYZ:
```
12
Lattice="3.5016 0.0000 0.0000 -1.7508 3.0325 0.0000 0.0000 0.0000 33.6738" Properties=species:S:1:pos:R:3 pbc="T T T"
Pm 0.0000 0.0000 0.0000
Pm 0.0000 2.0217 22.4492
Pm 1.7508 1.0108 11.2246
Er 0.0000 0.0000 5.4193
Er 0.0000 2.0217 27.8685
Er 1.7508 1.0108 16.6439
Tm 0.0000 0.0000 19.4851
Tm 0.0000 2.0217 8.2605
Tm 1.7508 1.0108 30.7097
Sc 0.0000 0.0000 25.1946
Sc 0.0000 2.0217 13.9700
Sc 1.7508 1.0108 2.7455
```

Summary:
Energy above the most stable polymorph in this dataset ... 0.0 meV/atom
DFT formation energy ... 44 meV/atom



# PmErTmSc

A relaxed PmErTmSc crystal (PBE, Alexandria).

Geometry as extended XYZ:
```
16
Lattice="7.8228 0.0000 0.0000 0.0000 7.8228 0.0000 0.0000 0.0000 7.8228" Properties=species:S:1:pos:R:3 pbc="T T T"
Pm 0.0000 0.0000 0.0000
Pm 0.0000 3.9114 3.9114
Pm 3.9114 0.0000 3.9114
Pm 3.9114 3.9114 0.0000
Er 0.0000 0.0000 3.9114
Er 0.0000 3.9114 0.0000
Er 3.9114 0.0000 0.0000
Er 3.9114 3.9114 3.9114
Tm 1.9557 1.9557 5.8671
Tm 1.9557 5.8671 1.9557
Tm 5.8671 1.9557 1.9557
Tm 5.8671 5.8671 5.8671
Sc 1.9557 1.9557 1.9557
Sc 1.9557 5.8671 5.8671
Sc 5.8671 1.9557 5.8671
Sc 5.8671 5.8671 1.9557
```

Summary:
Energy above the most stable polymorph in this dataset ... 64.3 meV/atom
DFT formation energy ... 109 meV/atom



# PmEr2Tm6Sc3

A relaxed PmEr2Tm6Sc3 crystal (PBE, Alexandria).

Geometry as extended XYZ:
```
12
Lattice="2.9950 -5.1831 0.0000 2.9950 5.1831 0.0000 -1.9904 0.0000 11.2150" Properties=species:S:1:pos:R:3 pbc="T T T"
Pm 0.0000 0.0000 0.0000
Er 2.9950 1.7267 0.0000
Er 2.9950 -1.7267 0.0000
Tm 1.0032 1.7297 2.9073
Tm 0.0061 0.0000 8.3071
Tm 1.0032 -1.7297 2.9073
Tm 2.9965 1.7297 8.3077
Tm 3.9936 0.0000 2.9079
Tm 2.9965 -1.7297 8.3077
Sc 1.9998 3.4542 5.6075
Sc 1.9998 0.0000 5.6075
Sc 1.9998 -3.4542 5.6075
```

Summary:
DFT formation energy ... 44 meV/atom



# PmErTm5Sc2

A relaxed PmErTm5Sc2 crystal (PBE, Alexandria).

Geometry as extended XYZ:
```
18
Lattice="2.7683 -10.6385 0.0000 2.7683 10.6385 0.0000 0.0000 0.0000 9.2269" Properties=species:S:1:pos:R:3 pbc="T T T"
Pm 2.7683 6.6942 4.6134
Pm 2.7683 -6.6942 0.0000
Er 2.7683 2.0552 8.3300
Er 2.7683 -2.0552 3.7166
Tm 2.7683 10.4436 4.6183
Tm 2.7683 4.9992 7.5476
Tm 2.7683 4.0816 1.8712
Tm 2.7683 2.2822 4.8887
Tm 2.7683 0.6697 2.1344
Tm 2.7683 -0.6697 6.7478
Tm 2.7683 -2.2822 0.2752
Tm 2.7683 -4.0816 6.4846
Tm 2.7683 -4.9992 2.9342
Tm 2.7683 -10.4436 0.0049
Sc 2.7683 8.2333 7.4438
Sc 2.7683 7.6789 1.6498
Sc 2.7683 -7.6789 6.2633
Sc 2.7683 -8.2333 2.8303
```

Summary:
DFT formation energy ... 172 meV/atom



# Pm4ErTm2Sc

A relaxed Pm4ErTm2Sc crystal (PBE, Alexandria).

Geometry as extended XYZ:
```
8
Lattice="6.1470 0.0000 0.0000 0.0000 3.5610 0.0000 -2.0785 0.0000 11.4403" Properties=species:S:1:pos:R:3 pbc="T T T"
Pm 1.0048 0.0000 2.7950
Pm -0.0251 1.7805 8.6061
Pm 4.0935 1.7805 2.8342
Pm 3.0637 0.0000 8.6453
Er -1.0393 0.0000 5.7201
Tm 3.0735 0.0000 0.0000
Tm 2.0342 1.7805 5.7201
Sc 0.0000 1.7805 0.0000
```

Summary:
DFT formation energy ... 33 meV/atom



# PmErTm2Sc2

A relaxed PmErTm2Sc2 crystal (PBE, Alexandria).

Geometry as extended XYZ:
```
12
Lattice="6.7234 0.0000 0.0000 0.0000 9.4595 0.0000 0.0000 0.0000 5.4412" Properties=species:S:1:pos:R:3 pbc="T T T"
Pm 0.0000 0.0000 0.0000
Pm 3.3617 4.7297 2.7206
Er 0.0000 4.7297 2.7206
Er 3.3617 0.0000 0.0000
Tm 1.6667 3.1535 0.0000
Tm 1.6950 7.8832 2.7206
Tm 5.0284 1.5762 2.7206
Tm 5.0567 6.3060 0.0000
Sc 1.6822 1.5763 2.7206
Sc 1.6795 6.3061 0.0000
Sc 5.0439 3.1534 0.0000
Sc 5.0413 7.8831 2.7206
```

Summary:
DFT formation energy ... 76 meV/atom



# PmErTm2Sc

A relaxed PmErTm2Sc crystal (PBE, Alexandria).

Geometry as extended XYZ:
```
10
Lattice="4.0575 -5.5697 0.0000 4.0575 5.5697 0.0000 0.0000 0.0000 7.0496" Properties=species:S:1:pos:R:3 pbc="T T T"
Pm 4.0575 3.0061 5.2872
Pm 4.0575 -3.0061 1.7624
Er 4.0575 3.0038 1.7624
Er 4.0575 -3.0038 5.2872
Tm 1.5937 0.0000 0.0000
Tm 1.5937 0.0000 3.5248
Tm 6.5213 0.0000 0.0000
Tm 6.5213 0.0000 3.5248
Sc 4.0575 0.0366 5.2872
Sc 4.0575 -0.0366 1.7624
```

Summary:
DFT formation energy ... 336 meV/atom



> Which of these has the lowest DFT formation energy?

Pm4ErTm2Sc